*one*
NiRhSe4: optimized geometry, PBE-GGA.

a b c (Å): 5.506 5.506 5.506
angles (deg): 60.00 60.00 60.00
Fractional coordinates of all 6 atoms:
Ni 0.000 0.000 0.000
Rh 0.750 0.750 0.750
Se 0.375 0.375 0.375
Se 0.375 0.375 0.875
Se 0.375 0.875 0.375
Se 0.875 0.375 0.375

Output
Size of the total moment = 2.151 μB per cell
Symmetry = F-43m, No. 216
DOS at the Fermi energy = 10.90 states/eV/cell

*two*
NiRhSe4: optimized geometry, PBE-GGA.

a b c (Å): 5.063 3.681 6.339
angles (deg): 90.00 93.99 90.00
Fractional coordinates of all 6 atoms:
Ni 0.000 0.000 0.000
Rh 0.000 0.500 0.500
Se 0.231 0.500 0.859
Se 0.264 0.000 0.353
Se 0.736 0.000 0.647
Se 0.769 0.500 0.141

Output
Size of the total moment = 0.000 μB per cell
Symmetry = P2/m, No. 10
DOS at the Fermi energy = 2.17 states/eV/cell

In order of decreasing stability: *two*, *one*.

*one*
Ni3RhSe: optimized geometry, PBE-GGA.

a b c (Å): 4.535 4.535 4.535
angles (deg): 90.00 90.00 90.00
Fractional coordinates of all 5 atoms:
Ni 0.000 0.000 0.500
Ni 0.000 0.500 0.000
Ni 0.500 0.000 0.000
Rh 0.000 0.000 0.000
Se 0.500 0.500 0.500

Output
Size of the total moment = 4.124 μB per cell
Symmetry = Pm-3m, No. 221
DOS at the Fermi energy = 6.98 states/eV/cell

*two*
Ni3RhSe: optimized geometry, PBE-GGA.

a b c (Å): 4.284 4.284 4.284
angles (deg): 90.00 90.00 90.00
Fractional coordinates of all 5 atoms:
Ni 0.000 0.000 0.500
Ni 0.000 0.500 0.000
Ni 0.500 0.000 0.000
Rh 0.500 0.500 0.500
Se 0.000 0.000 0.000

Output
Size of the total moment = 1.909 μB per cell
Symmetry = Pm-3m, No. 221
DOS at the Fermi energy = 8.42 states/eV/cell

In order of decreasing stability: *two*, *one*.

*one*
Ni2RhSe6: optimized geometry, PBE-GGA.

a b c (Å): 7.994 7.994 6.175
angles (deg): 105.60 105.60 94.57
Fractional coordinates of all 18 atoms:
Ni 0.046 0.230 0.191
Ni 0.230 0.046 0.691
Ni 0.770 0.954 0.309
Ni 0.954 0.770 0.809
Rh 0.409 0.591 0.750
Rh 0.591 0.409 0.250
Se 0.008 0.197 0.542
Se 0.132 0.558 0.840
Se 0.197 0.008 0.042
Se 0.294 0.454 0.311
Se 0.442 0.868 0.660
Se 0.454 0.294 0.811
Se 0.546 0.706 0.189
Se 0.558 0.132 0.340
Se 0.706 0.546 0.689
Se 0.803 0.992 0.958
Se 0.868 0.442 0.160
Se 0.992 0.803 0.458

Output
Size of the total moment = 0.000 μB per cell
Symmetry = C2/c, No. 15
DOS at the Fermi energy = 15.69 states/eV/cell

*two*
Ni2RhSe6: optimized geometry, PBE-GGA.

a b c (Å): 6.236 6.236 7.976
angles (deg): 95.28 95.28 33.93
Fractional coordinates of all 9 atoms:
Ni 0.170 0.170 0.334
Ni 0.830 0.830 0.666
Rh 0.500 0.500 0.000
Se 0.023 0.023 0.792
Se 0.304 0.304 0.859
Se 0.356 0.356 0.476
Se 0.644 0.644 0.524
Se 0.696 0.696 0.141
Se 0.977 0.977 0.208

Output
Size of the total moment = 0.000 μB per cell
Symmetry = C2/m, No. 12
DOS at the Fermi energy = 2.79 states/eV/cell

In order of decreasing stability: *two*, *one*.